[1]
! PBE CsYAlAu, relaxed; values from VASP
&SYSTEM
  ibrav = 0, nat = 4, ntyp = 4
/
ATOMIC_SPECIES
Al 26.98 Al.upf
Au 196.97 Au.upf
Cs 132.91 Cs.upf
Y 88.91 Y.upf
CELL_PARAMETERS angstrom
0.000 3.756 3.756
3.756 0.000 3.756
3.756 3.756 0.000
ATOMIC_POSITIONS crystal
Al 0.000 0.000 0.000
Au 0.750 0.750 0.750
Cs 0.500 0.500 0.500
Y 0.250 0.250 0.250
! - Excess energy over the best structure of this formula in the dataset: 92 meV per atom

[2]
! PBE TbTaN2O, relaxed; values from VASP
&SYSTEM
  ibrav = 0, nat = 10, ntyp = 4
/
ATOMIC_SPECIES
N 14.01 N.upf
O 16.00 O.upf
Ta 180.95 Ta.upf
Tb 158.93 Tb.upf
CELL_PARAMETERS angstrom
-4.576 0.382 3.309
-0.480 -3.874 -0.217
3.361 -0.681 4.726
ATOMIC_POSITIONS crystal
N 0.750 0.000 0.191
N 0.000 0.500 0.500
N 0.500 0.500 0.500
N 0.250 0.000 0.809
O 0.000 0.500 0.000
O 0.500 0.500 0.000
Ta 0.750 0.500 0.273
Ta 0.250 0.500 0.727
Tb 0.250 0.000 0.197
Tb 0.750 0.000 0.803
! - Electronic total energy: -0.345 hartree per atom

[3]
! PBE GaFeMo2, relaxed; values from VASP
&SYSTEM
  ibrav = 0, nat = 4, ntyp = 3
/
ATOMIC_SPECIES
Fe 55.84 Fe.upf
Ga 69.72 Ga.upf
Mo 95.94 Mo.upf
CELL_PARAMETERS angstrom
-2.990 -3.110 0.109
-3.725 0.513 -2.117
-0.812 -2.337 -3.536
ATOMIC_POSITIONS crystal
Fe 0.250 0.250 0.250
Ga 0.500 0.500 0.500
Mo 0.000 0.000 0.000
Mo 0.750 0.750 0.750
! - Electronic total energy: -0.299 hartree per atom

[4]
! PBE SrDyZn, relaxed; values from VASP
&SYSTEM
  ibrav = 0, nat = 3, ntyp = 3
/
ATOMIC_SPECIES
Dy 162.50 Dy.upf
Sr 87.62 Sr.upf
Zn 65.41 Zn.upf
CELL_PARAMETERS angstrom
0.000 3.672 3.672
3.672 0.000 3.672
3.672 3.672 0.000
ATOMIC_POSITIONS crystal
Dy 0.250 0.250 0.250
Sr 0.750 0.750 0.750
Zn 0.000 0.000 0.000
! - Electronic total energy: -0.087 hartree per atom

[5]
! PBE PrScBe2Ge2, relaxed; values from VASP
&SYSTEM
  ibrav = 0, nat = 6, ntyp = 4
/
ATOMIC_SPECIES
Be 9.01 Be.upf
Ge 72.64 Ge.upf
Pr 140.91 Pr.upf
Sc 44.96 Sc.upf
CELL_PARAMETERS angstrom
-0.992 1.940 3.251
0.308 -3.901 0.066
7.761 0.647 1.983
ATOMIC_POSITIONS crystal
Be 0.667 0.333 0.228
Be 0.333 0.667 0.772
Ge 0.333 0.667 0.225
Ge 0.667 0.333 0.775
Pr 0.000 0.000 0.500
Sc 0.000 0.000 0.000
! - Electronic total energy: -0.193 hartree per atom

[6]
! PBE ErHgI, relaxed; values from VASP
&SYSTEM
  ibrav = 0, nat = 9, ntyp = 3
/
ATOMIC_SPECIES
Er 167.26 Er.upf
Hg 200.59 Hg.upf
I 126.90 I.upf
CELL_PARAMETERS angstrom
3.841 0.000 0.000
0.000 7.801 4.508
0.000 -7.801 4.508
ATOMIC_POSITIONS crystal
Er 0.000 0.667 0.333
Er 0.000 0.333 0.667
Er 0.000 0.000 0.000
Hg 0.500 0.666 0.000
Hg 0.500 0.334 0.334
Hg 0.500 0.000 0.666
I 0.000 0.333 0.000
I 0.000 0.000 0.333
I 0.000 0.667 0.667
! - Electronic total energy: -0.091 hartree per atom

[7]
! PBE ZnSi2Ag, relaxed; values from VASP
&SYSTEM
  ibrav = 0, nat = 4, ntyp = 3
/
ATOMIC_SPECIES
Ag 107.87 Ag.upf
Si 28.09 Si.upf
Zn 65.41 Zn.upf
CELL_PARAMETERS angstrom
4.206 0.080 1.718
0.750 1.840 4.086
1.064 -2.658 3.528
ATOMIC_POSITIONS crystal
Ag 0.750 0.750 0.750
Si 0.000 0.000 0.000
Si 0.250 0.250 0.250
Zn 0.500 0.500 0.500
! - Electronic total energy: -0.121 hartree per atom

[8]
! PBE AlCoReNi, relaxed; values from VASP
&SYSTEM
  ibrav = 0, nat = 4, ntyp = 4
/
ATOMIC_SPECIES
Al 26.98 Al.upf
Co 58.93 Co.upf
Ni 58.69 Ni.upf
Re 186.21 Re.upf
CELL_PARAMETERS angstrom
0.000 2.914 2.914
2.914 0.000 2.914
2.914 2.914 0.000
ATOMIC_POSITIONS crystal
Al 0.000 0.000 0.000
Co 0.750 0.750 0.750
Ni 0.500 0.500 0.500
Re 0.250 0.250 0.250
! - Excess energy over the best structure of this formula in the dataset: 98 meV per atom

[9]
! PBE LaPrZn6Ge3, relaxed; values from VASP
&SYSTEM
  ibrav = 0, nat = 22, ntyp = 4
/
ATOMIC_SPECIES
Ge 72.64 Ge.upf
La 138.91 La.upf
Pr 140.91 Pr.upf
Zn 65.41 Zn.upf
CELL_PARAMETERS angstrom
-1.682 -0.104 -3.784
-7.632 -10.325 3.676
-5.498 4.886 2.310
ATOMIC_POSITIONS crystal
Ge 0.500 0.000 0.120
Ge 0.500 0.310 0.189
Ge 0.500 0.690 0.189
Ge 0.500 0.500 0.621
Ge 0.500 0.189 0.690
Ge 0.500 0.811 0.690
La 0.000 0.333 0.500
La 0.000 0.667 0.500
Pr 0.000 0.166 0.000
Pr 0.000 0.834 0.000
Zn 0.000 0.406 0.094
Zn 0.000 0.594 0.094
Zn 0.500 0.500 0.290
Zn 0.000 0.000 0.311
Zn 0.500 0.145 0.355
Zn 0.500 0.855 0.355
Zn 0.000 0.094 0.595
Zn 0.000 0.906 0.595
Zn 0.500 0.000 0.791
Zn 0.000 0.500 0.812
Zn 0.500 0.355 0.855
Zn 0.500 0.645 0.855
! - Electronic total energy: -0.120 hartree per atom

[10]
! PBE Ho3ThSb4, relaxed; values from VASP
&SYSTEM
  ibrav = 0, nat = 8, ntyp = 3
/
ATOMIC_SPECIES
Ho 164.93 Ho.upf
Sb 121.76 Sb.upf
Th 232.04 Th.upf
CELL_PARAMETERS angstrom
-6.772 -2.048 -2.840
3.122 -5.920 3.650
-1.957 1.277 3.745
ATOMIC_POSITIONS crystal
Ho 0.500 0.000 0.000
Ho 0.000 0.500 0.000
Ho 0.500 0.500 0.500
Sb 0.257 0.257 0.000
Sb 0.743 0.743 0.000
Sb 0.747 0.253 0.500
Sb 0.253 0.747 0.500
Th 0.000 0.000 0.500
! - Electronic total energy: -0.212 hartree per atom

[11]
! PBE HfAsPdO, relaxed; values from VASP
&SYSTEM
  ibrav = 0, nat = 8, ntyp = 4
/
ATOMIC_SPECIES
As 74.92 As.upf
Hf 178.49 Hf.upf
O 16.00 O.upf
Pd 106.42 Pd.upf
CELL_PARAMETERS angstrom
3.742 0.000 0.000
0.000 3.742 0.000
0.000 0.000 8.428
ATOMIC_POSITIONS crystal
As 0.750 0.750 0.290
As 0.250 0.250 0.710
Hf 0.250 0.250 0.143
Hf 0.750 0.750 0.857
O 0.750 0.250 0.000
O 0.250 0.750 0.000
Pd 0.750 0.250 0.500
Pd 0.250 0.750 0.500
! - Excess energy over the best structure of this formula in the dataset: 0 meV per atom

[12]
! PBE InNi3As, relaxed; values from VASP
&SYSTEM
  ibrav = 0, nat = 10, ntyp = 3
/
ATOMIC_SPECIES
As 74.92 As.upf
In 114.82 In.upf
Ni 58.69 Ni.upf
CELL_PARAMETERS angstrom
1.195 1.450 -5.450
-1.866 2.255 4.966
6.534 1.419 1.811
ATOMIC_POSITIONS crystal
As 0.248 0.752 0.250
As 0.752 0.248 0.750
In 0.500 0.500 0.000
In 0.500 0.500 0.500
Ni 0.829 0.171 0.068
Ni 0.033 0.967 0.250
Ni 0.829 0.171 0.432
Ni 0.171 0.829 0.568
Ni 0.967 0.033 0.750
Ni 0.171 0.829 0.932
! - Excess energy over the best structure of this formula in the dataset: 6 meV per atom

[13]
! PBE NdGd2In3Pt2Au, relaxed; values from VASP
&SYSTEM
  ibrav = 0, nat = 9, ntyp = 5
/
ATOMIC_SPECIES
Au 196.97 Au.upf
Gd 157.25 Gd.upf
In 114.82 In.upf
Nd 144.24 Nd.upf
Pt 195.08 Pt.upf
CELL_PARAMETERS angstrom
-1.796 -2.672 -2.231
6.957 -2.757 -2.299
-3.502 -2.949 6.350
ATOMIC_POSITIONS crystal
Au 0.000 0.998 0.998
Gd 0.000 0.591 0.000
Gd 0.000 0.000 0.591
In 0.500 0.998 0.265
In 0.500 0.736 0.736
In 0.500 0.265 0.998
Nd 0.000 0.409 0.409
Pt 0.500 0.670 0.332
Pt 0.500 0.332 0.670
! - Electronic total energy: -0.187 hartree per atom

[14]
! PBE Sr2TaMoC6, relaxed; values from VASP
&SYSTEM
  ibrav = 0, nat = 20, ntyp = 4
/
ATOMIC_SPECIES
C 12.01 C.upf
Mo 95.94 Mo.upf
Sr 87.62 Sr.upf
Ta 180.95 Ta.upf
CELL_PARAMETERS angstrom
5.940 0.000 0.000
0.000 5.961 0.000
-5.939 0.000 8.420
ATOMIC_POSITIONS crystal
C 0.747 0.754 0.000
C 0.254 0.754 0.001
C 0.747 0.996 0.246
C 0.253 0.496 0.254
C 0.746 0.254 0.499
C 0.253 0.254 0.500
C 0.747 0.746 0.500
C 0.254 0.746 0.501
C 0.747 0.504 0.746
C 0.253 0.004 0.754
C 0.746 0.246 0.999
C 0.253 0.246 0.000
Mo 0.500 0.000 0.000
Mo 0.500 0.500 0.500
Sr 0.749 0.499 0.249
Sr 0.251 0.999 0.251
Sr 0.749 0.001 0.749
Sr 0.251 0.501 0.751
Ta 0.000 0.500 0.000
Ta 0.000 0.000 0.500
! - Excess energy over the best structure of this formula in the dataset: 276 meV per atom

[15]
! PBE Sr7Nb6O21, relaxed; values from VASP
&SYSTEM
  ibrav = 0, nat = 34, ntyp = 3
/
ATOMIC_SPECIES
Nb 92.91 Nb.upf
O 16.00 O.upf
Sr 87.62 Sr.upf
CELL_PARAMETERS angstrom
2.847 -4.931 0.000
-5.694 0.000 0.000
2.847 -1.644 -16.165
ATOMIC_POSITIONS crystal
Nb 0.309 0.691 0.072
Nb 0.927 0.073 0.220
Nb 0.542 0.458 0.373
Nb 0.458 0.542 0.627
Nb 0.073 0.927 0.780
Nb 0.691 0.309 0.928
O 0.500 0.000 0.000
O 0.500 0.500 0.000
O 0.000 0.500 0.000
O 0.143 0.375 0.142
O 0.090 0.857 0.142
O 0.625 0.910 0.142
O 0.246 0.219 0.282
O 0.781 0.310 0.282
O 0.690 0.754 0.282
O 0.422 0.138 0.423
O 0.293 0.578 0.423
O 0.862 0.707 0.423
O 0.138 0.293 0.577
O 0.707 0.422 0.577
O 0.578 0.862 0.577
O 0.310 0.246 0.718
O 0.219 0.690 0.718
O 0.754 0.781 0.718
O 0.375 0.090 0.858
O 0.910 0.143 0.858
O 0.857 0.625 0.858
Sr 0.000 0.000 0.000
Sr 0.616 0.384 0.153
Sr 0.232 0.768 0.304
Sr 0.848 0.152 0.456
Sr 0.152 0.848 0.544
Sr 0.768 0.232 0.696
Sr 0.384 0.616 0.847
! - Electronic total energy: -0.295 hartree per atom

[16]
! PBE Cu3Ag, relaxed; values from VASP
&SYSTEM
  ibrav = 0, nat = 8, ntyp = 2
/
ATOMIC_SPECIES
Ag 107.87 Ag.upf
Cu 63.55 Cu.upf
CELL_PARAMETERS angstrom
5.351 0.000 0.000
0.000 2.698 0.000
-0.074 0.000 7.375
ATOMIC_POSITIONS crystal
Ag 0.132 0.250 0.363
Ag 0.868 0.750 0.637
Cu 0.865 0.750 0.110
Cu 0.388 0.750 0.115
Cu 0.623 0.250 0.362
Cu 0.377 0.750 0.638
Cu 0.612 0.250 0.885
Cu 0.135 0.250 0.890
! - Calculated formation energy: 0.3 eV per formula unit

[17]
! PBE NdHoCuSe3, relaxed; values from VASP
&SYSTEM
  ibrav = 0, nat = 12, ntyp = 4
/
ATOMIC_SPECIES
Cu 63.55 Cu.upf
Ho 164.93 Ho.upf
Nd 144.24 Nd.upf
Se 78.96 Se.upf
CELL_PARAMETERS angstrom
3.954 0.000 0.000
0.000 10.470 0.000
-1.902 0.000 6.707
ATOMIC_POSITIONS crystal
Cu 0.984 0.250 0.449
Cu 0.016 0.750 0.551
Ho 0.500 0.000 0.500
Ho 0.500 0.500 0.500
Nd 0.274 0.250 0.034
Nd 0.726 0.750 0.966
Se 0.860 0.069 0.213
Se 0.860 0.431 0.213
Se 0.405 0.750 0.319
Se 0.595 0.250 0.681
Se 0.140 0.569 0.787
Se 0.140 0.931 0.787
! - Electronic total energy: -0.196 hartree per atom

[18]
! PBE ErTm2ScIn2, relaxed; values from VASP
&SYSTEM
  ibrav = 0, nat = 6, ntyp = 4
/
ATOMIC_SPECIES
Er 167.26 Er.upf
In 114.82 In.upf
Sc 44.96 Sc.upf
Tm 168.93 Tm.upf
CELL_PARAMETERS angstrom
-0.008 2.183 4.792
-4.020 -3.047 -1.511
3.079 -5.250 2.397
ATOMIC_POSITIONS crystal
Er 0.000 0.000 0.000
In 0.333 0.667 0.245
In 0.667 0.333 0.755
Sc 0.000 0.000 0.500
Tm 0.667 0.333 0.266
Tm 0.333 0.667 0.734
! - Electronic total energy: -0.168 hartree per atom

[19]
! PBE CsErCdO3, relaxed; values from VASP
&SYSTEM
  ibrav = 0, nat = 12, ntyp = 4
/
ATOMIC_SPECIES
Cd 112.41 Cd.upf
Cs 132.91 Cs.upf
Er 167.26 Er.upf
O 16.00 O.upf
CELL_PARAMETERS angstrom
1.794 -7.138 0.000
1.794 7.138 0.000
0.000 0.000 9.175
ATOMIC_POSITIONS crystal
Cd 0.585 0.415 0.250
Cd 0.415 0.585 0.750
Cs 0.305 0.695 0.250
Cs 0.695 0.305 0.750
Er 0.000 0.000 0.000
Er 0.000 0.000 0.500
O 0.601 0.399 0.022
O 0.980 0.020 0.250
O 0.601 0.399 0.478
O 0.399 0.601 0.522
O 0.020 0.980 0.750
O 0.399 0.601 0.978
! - Electronic total energy: -0.205 hartree per atom

[20]
! PBE SbOs, relaxed; values from VASP
&SYSTEM
  ibrav = 0, nat = 2, ntyp = 2
/
ATOMIC_SPECIES
Os 190.23 Os.upf
Sb 121.76 Sb.upf
CELL_PARAMETERS angstrom
3.242 0.000 0.000
-1.621 2.808 0.000
0.000 0.000 4.024
ATOMIC_POSITIONS crystal
Os 0.667 0.333 0.750
Sb 0.333 0.667 0.250
! - Electronic total energy: -0.255 hartree per atom

[21]
! PBE Ta2TcSb, relaxed; values from VASP
&SYSTEM
  ibrav = 0, nat = 4, ntyp = 3
/
ATOMIC_SPECIES
Sb 121.76 Sb.upf
Ta 180.95 Ta.upf
Tc 98.00 Tc.upf
CELL_PARAMETERS angstrom
0.000 3.283 3.283
3.283 0.000 3.283
3.283 3.283 0.000
ATOMIC_POSITIONS crystal
Sb 0.500 0.500 0.500
Ta 0.000 0.000 0.000
Ta 0.750 0.750 0.750
Tc 0.250 0.250 0.250
! - Electronic total energy: -0.346 hartree per atom

[22]
! PBE LaNdPO, relaxed; values from VASP
&SYSTEM
  ibrav = 0, nat = 8, ntyp = 4
/
ATOMIC_SPECIES
La 138.91 La.upf
Nd 144.24 Nd.upf
O 16.00 O.upf
P 30.97 P.upf
CELL_PARAMETERS angstrom
4.346 0.000 0.000
0.000 7.904 0.000
0.000 0.000 6.002
ATOMIC_POSITIONS crystal
La 0.000 0.698 0.440
La 0.000 0.302 0.940
Nd 0.500 0.122 0.493
Nd 0.500 0.878 0.993
O 0.500 0.829 0.384
O 0.500 0.171 0.884
P 0.000 0.335 0.438
P 0.000 0.665 0.938
! - Excess energy over the best structure of this formula in the dataset: 0 meV per atom

[23]
! PBE BeFeAsIr, relaxed; values from VASP
&SYSTEM
  ibrav = 0, nat = 4, ntyp = 4
/
ATOMIC_SPECIES
As 74.92 As.upf
Be 9.01 Be.upf
Fe 55.84 Fe.upf
Ir 192.22 Ir.upf
CELL_PARAMETERS angstrom
0.000 2.950 2.950
2.950 0.000 2.950
2.950 2.950 0.000
ATOMIC_POSITIONS crystal
As 0.000 0.000 0.000
Be 0.250 0.250 0.250
Fe 0.750 0.750 0.750
Ir 0.500 0.500 0.500
! - Excess energy over the best structure of this formula in the dataset: 285 meV per atom